Entry 1:
# Li4CeU3S8

A geometry-optimized Li4CeU3S8 structure (GGA-PBE, Alexandria via LeMat-Bulk).

```
Li4CeU3S8
1.0
-4.8809 2.6675 5.4512
-2.6915 -7.1552 1.0912
7.6305 1.4538 0.5575
S U Li Ce
8 3 4 1
direct
0.2563 0.7586 0.5126
0.2480 0.2441 0.4960
0.7437 0.2414 0.4874
0.7437 0.2414 0.9976
0.7520 0.7559 0.5040
0.7462 0.7586 0.0024
0.2538 0.2414 0.9976
0.2563 0.7586 0.0024
0.0000 0.5000 0.5000
0.5000 0.5000 0.5000
0.5000 0.5000 0.0000
0.5000 0.0000 0.5000
0.0000 0.0000 0.0000
0.0000 0.0000 0.5000
0.5000 0.0000 0.0000
0.0000 0.5000 0.0000
```

Summary:
Space group = R-3m, No. 166
Final energy = -103.8 eV per cell
Uncorrected formation energy = -1455.9 meV/atom

***

Entry 2:
# PmNiBi

A geometry-optimized PmNiBi structure (GGA-PBE, Alexandria via LeMat-Bulk).

```
PmNiBi
1.0
4.2342 0.0000 0.0000
0.0000 4.4469 0.0000
0.0000 -2.2235 3.8512
Ni Bi Pm
1 1 1
direct
0.1142 0.0000 0.0000
0.1928 0.3333 0.6667
0.6930 0.6667 0.3333
```

Summary:
Space group = P3m1, No. 156
Energy above the most stable polymorph in this dataset = 41 kJ/mol of formula units
Final energy = -16.0 eV per cell
Energy of formation from the pure elements = -0.527 eV/atom

***

Entry 3:
# YOsCl2

A geometry-optimized YOsCl2 structure (GGA-PBE, Alexandria via LeMat-Bulk).

```
YOsCl2
1.0
9.3908 0.0368 0.0218
8.7088 3.5135 0.0218
8.7088 1.7083 3.0703
Cl Os Y
2 1 1
direct
0.2229 0.2229 0.2229
0.0227 0.0227 0.0227
0.4985 0.4985 0.4985
0.7559 0.7559 0.7559
```

Summary:
Space group = R3m, No. 160
Energy above the most stable polymorph in this dataset = 84 kJ/mol of formula units
Final energy = -22.8 eV per cell
Uncorrected formation energy = -356.2 meV/atom

***

Entry 4:
# ZrFeMo

A geometry-optimized ZrFeMo structure (GGA-PBE, Alexandria via LeMat-Bulk).

```
ZrFeMo
1.0
-2.9205 -4.0211 1.5185
4.9825 0.3178 1.4415
-1.4617 -0.4531 4.9662
Zr Mo Fe
2 2 2
direct
0.7500 0.8739 0.3761
0.2500 0.1261 0.6239
0.5000 0.0000 0.0000
0.0000 0.5000 0.0000
0.0000 0.5000 0.5000
0.5000 0.5000 0.0000
```

Summary:
Space group = Imma, No. 74
Energy above the most stable polymorph in this dataset = 3 kJ/mol of formula units
Final energy = -56.5 eV per cell
Energy of formation from the pure elements = -0.130 eV/atom

***

Entry 5:
# Na8UO6

A geometry-optimized Na8UO6 structure (GGA-PBE, Alexandria via LeMat-Bulk).

```
Na8UO6
1.0
-5.3770 -2.1571 -1.3028
-3.4753 -2.1213 4.3226
-6.3806 6.4535 2.1159
Na O U
8 6 1
direct
0.8990 0.2611 0.2925
0.1010 0.7389 0.7075
0.3331 0.3331 0.0006
0.5474 0.8990 0.2925
0.7389 0.4526 0.7075
0.2611 0.5474 0.2925
0.4526 0.1010 0.7075
0.6669 0.6669 0.9994
0.7584 0.0459 0.8565
0.0459 0.3391 0.8565
0.3391 0.7584 0.8565
0.6609 0.2416 0.1435
0.2416 0.9541 0.1435
0.9541 0.6609 0.1435
0.0000 0.0000 0.0000
```

Summary:
Space group = R-3, No. 148
Final energy = -78.7 eV per cell
Uncorrected formation energy = -1804.3 meV/atom

***

Entry 6:
# Ca2ErTmSe4

A geometry-optimized Ca2ErTmSe4 structure (GGA-PBE, Alexandria via LeMat-Bulk).

```
Ca2ErTmSe4
1.0
-0.3187 -1.0124 3.9425
6.4639 -2.8441 -0.2078
0.5275 6.9321 1.8227
Se Er Tm Ca
4 1 1 2
direct
0.0000 0.2515 0.7580
0.5000 0.2464 0.2413
0.0000 0.7485 0.2420
0.5000 0.7536 0.7587
0.5000 0.5000 0.0000
0.0000 0.0000 0.0000
0.5000 0.0000 0.5000
0.0000 0.5000 0.5000
```

Summary:
Space group = P2/m, No. 10
Final energy = -41.7 eV per cell
Uncorrected formation energy = -1842.5 meV/atom